Crystalline TlZnBiSe3 at its relaxed geometry. Source: OQMD, functional GGA-PBE.

```
TlZnBiSe3
1.0
2.103 -7.307 0.000
2.103 7.307 0.000
0.000 0.000 11.239
Se Tl Zn Bi
6 2 2 2
direct
0.366 0.634 0.565
0.936 0.064 0.250
0.634 0.366 0.065
0.064 0.936 0.750
0.634 0.366 0.435
0.366 0.634 0.935
0.747 0.253 0.750
0.253 0.747 0.250
0.458 0.542 0.750
0.542 0.458 0.250
0.000 0.000 0.500
0.000 0.000 0.000
```

Values from the calculation:
- VASP energy: -42.12 eV for the cell shown
- V: 28.78 A^3/atom
- Density: 6881 kg/m3